1.
A relaxed NiHg crystal, computed with PBE.

Summary:
* SG: I4_1/amd (141)
* total magnetic moment: 0.00 μB/f.u.
* calculated volume: 64 Å³ per cell
* energy of formation: 0.315 eV per atom
* total DFT energy (no corrections): -2.73 eV per atom

POSCAR file:
```
NiHg
1.0
-1.940 1.940 4.238
1.940 -1.940 4.238
1.940 1.940 -4.238
Ni Hg
2 2
Direct
0.375 0.625 0.750
0.625 0.375 0.250
0.125 0.875 0.250
0.875 0.125 0.750
```



2.
A relaxed NiHg crystal, computed with PBE.

Summary:
* SG: Cmcm (63)
* total magnetic moment: 0.00 μB/f.u.
* calculated volume: 65 Å³ per cell
* energy of formation: 0.259 eV per atom
* total DFT energy (no corrections): -2.78 eV per atom

POSCAR file:
```
NiHg
1.0
1.513 -5.027 0.000
1.513 5.027 0.000
0.000 0.000 4.272
Ni Hg
2 2
Direct
0.075 0.925 0.750
0.925 0.075 0.250
0.349 0.651 0.750
0.651 0.349 0.250
```



3.
A relaxed Ni3Hg crystal, computed with PBE.

Summary:
* SG: Pm-3n (223)
* total magnetic moment: 1.06 μB/f.u.
* calculated volume: 108 Å³ per cell
* energy of formation: 0.323 eV per atom
* total DFT energy (no corrections): -4.09 eV per atom

POSCAR file:
```
Ni3Hg
1.0
4.770 0.000 0.000
0.000 4.770 0.000
0.000 0.000 4.770
Ni Hg
6 2
Direct
0.000 0.250 0.500
0.000 0.750 0.500
0.250 0.500 0.000
0.500 0.000 0.250
0.500 0.000 0.750
0.750 0.500 0.000
0.000 0.000 0.000
0.500 0.500 0.500
```



4.
A relaxed NiHg crystal, computed with PBE.

Summary:
* SG: Imma (74)
* total magnetic moment: 0.00 μB/f.u.
* calculated volume: 64 Å³ per cell
* energy of formation: 0.277 eV per atom
* total DFT energy (no corrections): -2.76 eV per atom

POSCAR file:
```
NiHg
1.0
-1.501 2.260 4.726
1.501 -2.260 4.726
1.501 2.260 -4.726
Ni Hg
2 2
Direct
0.394 0.144 0.250
0.606 0.856 0.750
0.141 0.391 0.750
0.859 0.609 0.250
```



Which value of total DFT energy (no corrections) does entry 2 give? -2.78 eV per atom



Number 2 is which compound? NiHg